No. 1
# LuBeAlPt | the Open Quantum Materials Database | PBE-GGA | optimized geometry
# Total magnetization   0.00 μB/cell
# Calculated total energy   -80.823 eV/cell
# Relative energy among the computed polymorphs   68 meV per atom
# Mass density   10.86 g cm⁻³
data_LuBeAlPt
_space_group_name_H-M_alt 'F -4 3 m'
_space_group_IT_number 216
_space_group_name_Hall 'F -4 2 3'
_cell_length_a 6.285
_cell_length_b 6.285
_cell_length_c 6.285
_cell_angle_alpha 90.00
_cell_angle_beta 90.00
_cell_angle_gamma 90.00
loop_
_atom_site_label
_atom_site_fract_x
_atom_site_fract_y
_atom_site_fract_z
_atom_site_occupancy
Lu1 0.000 0.000 0.000 1
Be1 0.250 0.250 0.250 1
Al1 0.250 0.250 0.750 1
Pt1 0.000 0.000 0.500 1

No. 2
# LuBeAlPt | the Open Quantum Materials Database | PBE-GGA | optimized geometry
# Total magnetization   0.00 μB/cell
# Calculated total energy   -81.916 eV/cell
# Relative energy among the computed polymorphs   0 meV per atom
# Mass density   10.39 g cm⁻³
data_LuBeAlPt
_space_group_name_H-M_alt 'F -4 3 m'
_space_group_IT_number 216
_space_group_name_Hall 'F -4 2 3'
_cell_length_a 6.379
_cell_length_b 6.379
_cell_length_c 6.379
_cell_angle_alpha 90.00
_cell_angle_beta 90.00
_cell_angle_gamma 90.00
loop_
_atom_site_label
_atom_site_fract_x
_atom_site_fract_y
_atom_site_fract_z
_atom_site_occupancy
Lu1 0.000 0.000 0.000 1
Be1 0.250 0.250 0.250 1
Al1 0.000 0.000 0.500 1
Pt1 0.250 0.250 0.750 1

No. 3
# LuBeAlPt | the Open Quantum Materials Database | PBE-GGA | optimized geometry
# Total magnetization   0.00 μB/cell
# Calculated total energy   -78.961 eV/cell
# Relative energy among the computed polymorphs   185 meV per atom
# Mass density   10.30 g cm⁻³
data_LuBeAlPt
_space_group_name_H-M_alt 'F -4 3 m'
_space_group_IT_number 216
_space_group_name_Hall 'F -4 2 3'
_cell_length_a 6.398
_cell_length_b 6.398
_cell_length_c 6.398
_cell_angle_alpha 90.00
_cell_angle_beta 90.00
_cell_angle_gamma 90.00
loop_
_atom_site_label
_atom_site_fract_x
_atom_site_fract_y
_atom_site_fract_z
_atom_site_occupancy
Lu1 0.000 0.000 0.000 1
Be1 0.000 0.000 0.500 1
Al1 0.250 0.250 0.250 1
Pt1 0.250 0.250 0.750 1

No. 4
# BeAlMo2 | the Open Quantum Materials Database | PBE-GGA | optimized geometry
# Total magnetization   0.01 μB/cell
# Calculated total energy   -116.884 eV/cell
# Mass density   6.75 g cm⁻³
data_BeAlMo2
_space_group_name_H-M_alt 'F -4 3 m'
_space_group_IT_number 216
_space_group_name_Hall 'F -4 2 3'
_cell_length_a 6.076
_cell_length_b 6.076
_cell_length_c 6.076
_cell_angle_alpha 90.00
_cell_angle_beta 90.00
_cell_angle_gamma 90.00
loop_
_atom_site_label
_atom_site_fract_x
_atom_site_fract_y
_atom_site_fract_z
_atom_site_occupancy
Be1 0.000 0.000 0.000 1
Al1 0.250 0.250 0.750 1
Mo1 0.000 0.000 0.500 1
Mo2 0.250 0.250 0.250 1